Material: NaZn2SiTe4
Method: DFT, PBE
State: relaxed

Total magnetization   0.0 μB per cell
Formation energy from raw total energies   -275 meV per atom
Total DFT energy (no corrections)   -24.06 eV per cell

Lattice parameters (Å, degrees): 6.473 6.473 7.790 114.53 114.53 90.05
Fractional positions:
Zn 0.750 0.250 0.500
Zn 0.250 0.750 0.500
Te 0.593 0.593 0.732
Te 0.407 0.861 0.268
Te 0.861 0.407 0.268
Te 0.139 0.139 0.732
Na 0.001 0.001 0.001
Si 0.500 0.500 0.000